Material: KBa2As2O6
Method: DFT, PBE
State: relaxed

Computed properties:
As for the total magnetization: 1.03 μB per formula unit. The calculation puts the uncorrected formation energy at -1901.8 meV per atom. The calculation puts the volume at 208.5 Å³/f.u.

Unit cell a=5.947 b=5.947 c=7.624 alpha=67.05 beta=67.05 gamma=60.00
Positions (direct):
O 0.276 0.276 0.698
O 0.724 0.251 0.302
O 0.276 0.749 0.698
O 0.724 0.724 0.302
O 0.749 0.276 0.698
O 0.251 0.724 0.302
As 0.599 0.599 0.202
As 0.401 0.401 0.798
K 0.000 0.000 0.000
Ba 0.797 0.797 0.610
Ba 0.203 0.203 0.390

---

Material: NdZnAgSn
Method: DFT, PBE
State: relaxed

Computed properties:
As for the total magnetization: 0.00 μB per formula unit. As for the energy of formation: -334 meV/atom. The calculation puts the volume at 90.3 Å³/f.u.

Unit cell a=5.036 b=5.036 c=5.036 alpha=60.00 beta=60.00 gamma=60.00
Positions (direct):
Sn 0.750 0.750 0.750
Nd 0.250 0.250 0.250
Zn 0.500 0.500 0.500
Ag 0.000 0.000 0.000

---

Material: DyAlAs2O8
Method: DFT, PBE
State: relaxed

Computed properties:
As for the total magnetization: 0.00 μB per formula unit. The calculation puts the uncorrected formation energy at -1959.8 meV per atom. The calculation puts the volume at 145.2 Å³/f.u.

Unit cell a=5.751 b=5.751 c=5.751 alpha=106.60 beta=106.60 gamma=115.38
Positions (direct):
Al 0.250 0.750 0.500
O 0.946 0.623 0.677
O 0.946 0.269 0.323
O 0.486 0.680 0.806
O 0.377 0.054 0.323
O 0.320 0.514 0.194
O 0.731 0.054 0.677
O 0.320 0.126 0.806
O 0.874 0.680 0.194
As 0.750 0.250 0.500
As 0.500 0.500 0.000
Dy 0.000 0.000 0.000

---

Material: Mg3SbI
Method: DFT, PBE
State: relaxed

Computed properties:
As for the total magnetization: 0.00 μB per formula unit. The calculation puts the uncorrected formation energy at -0.6 meV per atom. The calculation puts the volume at 183.1 Å³/f.u. As for the polymorph energy (0 for the lowest one): 0 meV/atom.

Unit cell a=5.679 b=5.679 c=5.679 alpha=90.00 beta=90.00 gamma=90.00
Positions (direct):
I 0.500 0.500 0.500
Mg 0.500 0.000 0.000
Mg 0.000 0.000 0.500
Mg 0.000 0.500 0.000
Sb 0.000 0.000 0.000

---

Material: Nd6Ir2AuBr3
Method: DFT, PBE
State: relaxed

Computed properties:
As for the total magnetization: 0.00 μB per formula unit. The calculation puts the uncorrected formation energy at -1074.3 meV per atom. The calculation puts the volume at 360.9 Å³/f.u.

Unit cell a=7.323 b=7.323 c=8.146 alpha=98.59 beta=98.59 gamma=120.03
Positions (direct):
Br 0.500 0.500 0.500
Br 0.832 0.168 0.500
Br 0.168 0.832 0.500
Nd 0.934 0.582 0.801
Nd 0.582 0.934 0.801
Nd 0.066 0.418 0.199
Nd 0.714 0.714 0.198
Nd 0.418 0.066 0.199
Nd 0.286 0.286 0.802
Ir 0.333 0.667 0.000
Ir 0.667 0.333 0.000
Au 0.000 0.000 0.000

---

Material: V3AsC
Method: DFT, PBE
State: relaxed

Computed properties:
As for the total magnetization: 0.00 μB per formula unit. As for the energy of formation: -310 meV/atom. The calculation puts the volume at 62.4 Å³/f.u. As for the polymorph energy (0 for the lowest one): 204 meV/atom.

Unit cell a=4.070 b=4.177 c=7.360 alpha=90.00 beta=94.04 gamma=90.00
Positions (direct):
V 0.462 0.250 0.372
V 0.469 0.250 0.908
V 0.990 0.750 0.371
V 0.538 0.750 0.628
V 0.531 0.750 0.092
V 0.010 0.250 0.629
As 0.049 0.750 0.846
As 0.951 0.250 0.154
C 0.515 0.250 0.641
C 0.485 0.750 0.359

---

Material: Ca3GaPd3
Method: DFT, PBE
State: relaxed

Computed properties:
As for the total magnetization: 0.00 μB per formula unit. As for the energy of formation: -734 meV/atom. The calculation puts the volume at 158.7 Å³/f.u. As for the polymorph energy (0 for the lowest one): 0 meV/atom.

Unit cell a=4.163 b=5.798 c=14.085 alpha=90.00 beta=90.00 gamma=111.04
Positions (direct):
Ga 0.500 0.000 0.500
Ga 0.500 0.000 0.000
Pd 0.923 0.847 0.586
Pd 0.779 0.558 0.750
Pd 0.923 0.847 0.914
Pd 0.221 0.442 0.250
Pd 0.077 0.153 0.086
Pd 0.077 0.153 0.414
Ca 0.513 0.027 0.250
Ca 0.791 0.582 0.395
Ca 0.487 0.973 0.750
Ca 0.209 0.418 0.605
Ca 0.791 0.582 0.105
Ca 0.209 0.418 0.895

---

Material: RbTb4Se6
Method: DFT, PBE
State: relaxed

Computed properties:
As for the total magnetization: 0.00 μB per formula unit. The calculation puts the uncorrected formation energy at -1499.0 meV per atom. The calculation puts the volume at 321.3 Å³/f.u. As for the polymorph energy (0 for the lowest one): 279 meV/atom.

Unit cell a=7.562 b=7.562 c=7.562 alpha=96.93 beta=116.08 gamma=116.08
Positions (direct):
Tb 0.380 0.794 0.794
Tb 0.000 0.586 0.206
Tb 0.000 0.206 0.586
Tb 0.620 0.414 0.414
Se 0.500 0.500 0.000
Se 0.302 0.466 0.466
Se 0.698 0.164 0.164
Se 0.000 0.836 0.534
Se 0.500 0.000 0.500
Se 0.000 0.534 0.836
Rb 0.000 0.000 0.000

---

Material: TlTe2RhI
Method: DFT, PBE
State: relaxed

Computed properties:
As for the total magnetization: 0.00 μB per formula unit. The calculation puts the uncorrected formation energy at 17.7 meV per atom. The calculation puts the volume at 159.1 Å³/f.u. As for the polymorph energy (0 for the lowest one): 0 meV/atom.

Unit cell a=5.249 b=5.249 c=5.775 alpha=90.00 beta=90.00 gamma=90.00
Positions (direct):
Te 0.000 0.500 0.000
Te 0.500 0.000 0.000
Tl 0.500 0.500 0.500
I 0.000 0.000 0.500
Rh 0.000 0.000 0.000

---

Material: CsBeTlSe2
Method: DFT, PBE
State: relaxed

Computed properties:
As for the total magnetization: 0.00 μB per formula unit. The calculation puts the uncorrected formation energy at -669.9 meV per atom. The calculation puts the volume at 187.9 Å³/f.u.

Unit cell a=5.176 b=7.929 c=9.166 alpha=92.85 beta=90.00 gamma=90.00
Positions (direct):
Be 0.000 0.000 0.000
Be 0.000 0.000 0.500
Se 0.819 0.216 0.565
Se 0.181 0.216 0.065
Se 0.819 0.784 0.935
Se 0.181 0.784 0.435
Cs 0.711 0.500 0.250
Cs 0.289 0.500 0.750
Tl 0.563 0.000 0.250
Tl 0.437 0.000 0.750

---

Material: In2IO
Method: DFT, PBE
State: relaxed

Computed properties:
As for the total magnetization: 0.00 μB per formula unit. The calculation puts the uncorrected formation energy at -528.8 meV per atom. The calculation puts the volume at 109.3 Å³/f.u. As for the polymorph energy (0 for the lowest one): 0 meV/atom.

Unit cell a=7.344 b=7.344 c=6.587 alpha=56.12 beta=56.12 gamma=90.00
Positions (direct):
In 0.236 0.625 0.250
In 0.514 0.125 0.250
In 0.375 0.486 0.750
In 0.875 0.764 0.750
O 0.250 0.750 0.500
O 0.500 0.500 0.000
I 0.000 0.000 0.000
I 0.750 0.250 0.500

---

Material: Rb2TlHAu
Method: DFT, PBE
State: relaxed

Computed properties:
As for the total magnetization: 0.00 μB per formula unit. The calculation puts the volume at 155.3 Å³/f.u. As for the polymorph energy (0 for the lowest one): 5 meV/atom.

Unit cell a=5.516 b=5.516 c=5.105 alpha=90.00 beta=90.00 gamma=90.00
Positions (direct):
Au 0.500 0.500 0.500
Tl 0.000 0.000 0.500
H 0.000 0.000 0.000
Rb 0.000 0.500 0.000
Rb 0.500 0.000 0.000